Record 1
A plane-wave DFT calculation with GGA+U was carried out for a relaxed structure of CoO2F8.

Summary:
density of states at the Fermi level	20.9	states/eV/cell
calculated volume	736.2	Å³ per cell
crystal system	monoclinic
calculated total energy	-3.413	eV per atom

abc: 14.629 5.002 11.015
angles: 90.00 114.02 90.00
Space group C2/c (No. 15)
Symmetry-distinct sites (fractional):
1 Co 0.000 0.034 0.250
2 O 0.153 0.195 0.590
3 F 0.034 0.236 0.146
4 F 0.101 0.169 0.844
5 F 0.177 0.456 0.561
6 F 0.247 0.059 0.649

***

Record 2
A plane-wave DFT calculation with GGA+U was carried out for a relaxed structure of CoOF2.

Summary:
density of states at the Fermi level	13.2	states/eV/cell
calculated volume	297.6	Å³ per cell
crystal system	tetragonal
calculated total energy	-4.148	eV per atom

abc: 5.752 5.752 8.993
angles: 90.00 90.00 90.00
Space group I-42d (No. 122)
Symmetry-distinct sites (fractional):
1 Co 0.000 0.000 0.000
2 O 0.000 0.000 0.500
3 F 0.102 0.250 0.125

***

Record 3
A plane-wave DFT calculation with GGA+U was carried out for a relaxed structure of CoO2F2.

Summary:
density of states at the Fermi level	2.5	states/eV/cell
calculated volume	56.6	Å³ per cell
crystal system	tetragonal
calculated total energy	-4.082	eV per atom

abc: 3.954 3.954 3.621
angles: 90.00 90.00 90.00
Space group P4/mmm (No. 123)
Symmetry-distinct sites (fractional):
1 Co 0.000 0.000 0.000
2 O 0.000 0.000 0.500
3 O 0.500 0.500 0.500
4 F 0.000 0.500 0.000

***

Record 4
A plane-wave DFT calculation with GGA+U was carried out for a relaxed structure of Co3O4F2.

Summary:
density of states at the Fermi level	18.2	states/eV/cell
calculated volume	349.0	Å³ per cell
crystal system	monoclinic
calculated total energy	-5.367	eV per atom

abc: 8.758 6.050 7.135
angles: 90.00 112.60 90.00
Space group C2/m (No. 12)
Symmetry-distinct sites (fractional):
1 Co 0.000 0.000 0.000
2 Co 0.000 0.000 0.500
3 Co 0.162 0.500 0.171
4 Co 0.182 0.500 0.663
5 O 0.000 0.303 0.000
6 O 0.093 0.000 0.290
7 O 0.174 0.195 0.664
8 F 0.057 0.500 0.357
9 F 0.238 0.000 0.019

***

Repeat the third record exactly.
A plane-wave DFT calculation with GGA+U was carried out for a relaxed structure of CoO2F2.

Summary:
density of states at the Fermi level	2.5	states/eV/cell
calculated volume	56.6	Å³ per cell
crystal system	tetragonal
calculated total energy	-4.082	eV per atom

abc: 3.954 3.954 3.621
angles: 90.00 90.00 90.00
Space group P4/mmm (No. 123)
Symmetry-distinct sites (fractional):
1 Co 0.000 0.000 0.000
2 O 0.000 0.000 0.500
3 O 0.500 0.500 0.500
4 F 0.000 0.500 0.000